The following is a DFT calculation (PBE) of an optimized crystal structure of KSc2Mn.

Unit cell a=5.8376 b=5.8376 c=5.8376 alpha=133.08 beta=133.08 gamma=68.54
Atoms (fractional coordinates):
K: 0.0000 0.0000 0.0000
Sc: 0.5000 0.5000 0.0000
Sc: 0.7500 0.2500 0.5000
Mn: 0.2500 0.7500 0.5000

Calculated formation energy: 0.832 eV per atom
Distance to the lowest polymorph of the same formula: 578 meV per atom